--- P ---
Compound: BaInSe
Source: the Alexandria database
Functional: PBE
Structure: relaxed

Cell and atoms, written as POSCAR:
```
BaInSe
1.0
5.509 0.000 0.000
2.755 4.771 0.000
2.755 1.590 4.498
In Ba Se
1 1 1
direct
0.000 0.000 0.000
0.750 0.750 0.750
0.500 0.500 0.500
```

SG   F-43m, No. 216

=====

--- Q ---
Compound: BaInSe
Source: the Alexandria database
Functional: PBE
Structure: relaxed

Cell and atoms, written as POSCAR:
```
BaInSe
1.0
-2.145 -2.989 3.584
-1.959 0.129 -4.746
2.648 -3.319 -1.183
Se Ba In
1 1 1
direct
0.333 0.667 0.500
0.000 0.000 0.000
0.667 0.333 0.500
```

SG   P-6m2, No. 187

=====

--- R ---
Compound: BaInSe
Source: the Alexandria database
Functional: PBE
Structure: relaxed

Cell and atoms, written as POSCAR:
```
BaInSe
1.0
4.406 0.000 0.000
-2.203 3.816 0.000
0.000 0.000 6.525
Ba Se In
1 1 1
direct
0.000 0.000 0.964
0.667 0.333 0.647
0.333 0.667 0.389
```

SG   P3m1, No. 156

=====

Stability check: which of them is least stable? P.